DFT (PBE) results for a geometry-optimized Ce2PdPb structure.

- SG: P4/mmm, No. 123
- Energy relative to the lowest polymorph listed for this composition: 0 meV per atom
- Fermi-level density of states: 2.754 states/eV/atom
- ΔH_f (0 K): -503 meV per atom

a = 3.467 Å, b = 3.467 Å, c = 8.618 Å
α = 90.00°, β = 90.00°, γ = 90.00°
Each line ends with the local moment (μB).
Element x y z (fractional)
Pd (0.500, 0.500, 0.000)  -0.03
Ce (0.000, 0.000, 0.783)  0.83
Ce (0.000, 0.000, 0.217)  0.83
Pb (0.500, 0.500, 0.500)  -0.02